Density functional theory data (PBE) for an optimized crystal structure of Np5PS4.

## Properties
* raw formation energy: -1.279 eV per atom
* volume: 425.00 Å³/cell

```
data_Np5PS4
_chemical_formula_sum 'Np10 P2 S8'
_cell_length_a 8.7585
_cell_length_b 8.7585
_cell_length_c 5.5402
_cell_angle_alpha 90.00
_cell_angle_beta 90.00
_cell_angle_gamma 90.00
_space_group_name_H-M_alt 'I 4/m'
_space_group_IT_number 87
_space_group_name_Hall '-I 4'
loop_
_atom_site_label
_atom_site_fract_x
_atom_site_fract_y
_atom_site_fract_z
Np1 0.0000 0.0000 0.0000
Np2 0.1000 0.3006 0.5000
P1 0.0000 0.0000 0.5000
S1 0.1007 0.2998 0.0000
```